A plane-wave DFT calculation with PBE was carried out for crystalline SrMn2In at its relaxed geometry.

Calculated values
- Symmetry: P4/mmm, No. 123
- ΔH_f (0 K): 449 meV per atom

abc: 3.583 3.583 7.375
angles: 90.00 90.00 90.00
Sites, in units of the cell vectors:
Sr: 0.000 0.000 0.000
Mn: 0.500 0.500 0.318
Mn: 0.500 0.500 0.682
In: 0.000 0.000 0.500



A plane-wave DFT calculation with PBE was carried out for crystalline SrMnIn2 at its relaxed geometry.

Calculated values
- Symmetry: R3m, No. 160
- ΔH_f (0 K): -20 meV per atom

abc: 4.706 4.706 18.109
angles: 90.00 90.00 120.00
Sites, in units of the cell vectors:
Sr: 0.000 0.000 0.000
Sr: 0.333 0.667 0.667
Sr: 0.667 0.333 0.333
Mn: 0.000 0.000 0.812
Mn: 0.333 0.667 0.479
Mn: 0.667 0.333 0.145
In: 0.000 0.000 0.206
In: 0.000 0.000 0.452
In: 0.333 0.667 0.119
In: 0.333 0.667 0.873
In: 0.667 0.333 0.539
In: 0.667 0.333 0.786



A plane-wave DFT calculation with PBE was carried out for crystalline SrMnIn4 at its relaxed geometry.

Calculated values
- Symmetry: F-43m, No. 216
- ΔH_f (0 K): 119 meV per atom

abc: 6.128 6.128 6.128
angles: 60.00 60.00 60.00
Sites, in units of the cell vectors:
Sr: 0.000 0.000 0.000
Mn: 0.250 0.250 0.250
In: 0.126 0.625 0.625
In: 0.625 0.126 0.625
In: 0.625 0.625 0.126
In: 0.625 0.625 0.625



A plane-wave DFT calculation with PBE was carried out for crystalline SrMnIn2 at its relaxed geometry.

Calculated values
- Symmetry: Cmmm, No. 65
- ΔH_f (0 K): 168 meV per atom

abc: 6.734 9.159 3.459
angles: 90.00 90.00 90.00
Sites, in units of the cell vectors:
Sr: 0.000 0.000 0.000
Sr: 0.500 0.500 0.000
Mn: 0.000 0.500 0.000
Mn: 0.500 0.000 0.000
In: 0.250 0.250 0.500
In: 0.250 0.750 0.500
In: 0.750 0.250 0.500
In: 0.750 0.750 0.500



A plane-wave DFT calculation with PBE was carried out for crystalline SrMn2In at its relaxed geometry.

Calculated values
- Symmetry: R3m, No. 160
- ΔH_f (0 K): 608 meV per atom

abc: 3.382 3.382 28.725
angles: 90.00 90.00 120.00
Sites, in units of the cell vectors:
Sr: 0.000 0.000 0.000
Sr: 0.333 0.667 0.667
Sr: 0.667 0.333 0.333
Mn: 0.000 0.000 0.241
Mn: 0.000 0.000 0.507
Mn: 0.333 0.667 0.174
Mn: 0.333 0.667 0.907
Mn: 0.667 0.333 0.574
Mn: 0.667 0.333 0.841
In: 0.000 0.000 0.766
In: 0.333 0.667 0.433
In: 0.667 0.333 0.100



A plane-wave DFT calculation with PBE was carried out for crystalline SrMnIn at its relaxed geometry.

Calculated values
- Symmetry: F-43m, No. 216
- ΔH_f (0 K): 296 meV per atom

abc: 7.106 7.106 7.106
angles: 90.00 90.00 90.00
Sites, in units of the cell vectors:
Sr: 0.000 0.000 0.000
Sr: 0.000 0.500 0.500
Sr: 0.500 0.000 0.500
Sr: 0.500 0.500 0.000
Mn: 0.250 0.250 0.250
Mn: 0.250 0.750 0.750
Mn: 0.750 0.250 0.750
Mn: 0.750 0.750 0.250
In: 0.000 0.000 0.500
In: 0.000 0.500 0.000
In: 0.500 0.000 0.000
In: 0.500 0.500 0.500



A plane-wave DFT calculation with PBE was carried out for crystalline Sr3MnIn at its relaxed geometry.

Calculated values
- Energy relative to the lowest polymorph listed for this composition: 0.000 eV per atom
- Symmetry: Pm-3m, No. 221
- ΔH_f (0 K): 503 meV per atom

abc: 6.347 6.347 6.347
angles: 90.00 90.00 90.00
Sites, in units of the cell vectors:
Sr: 0.000 0.000 0.500
Sr: 0.000 0.500 0.000
Sr: 0.500 0.000 0.000
Mn: 0.500 0.500 0.500
In: 0.000 0.000 0.000



A plane-wave DFT calculation with PBE was carried out for crystalline SrMnIn3 at its relaxed geometry.

Calculated values
- Symmetry: Pm-3m, No. 221
- ΔH_f (0 K): -59 meV per atom

abc: 5.077 5.077 5.077
angles: 90.00 90.00 90.00
Sites, in units of the cell vectors:
Sr: 0.000 0.000 0.000
Mn: 0.500 0.500 0.500
In: 0.000 0.500 0.500
In: 0.500 0.000 0.500
In: 0.500 0.500 0.000